Entry 1:
Here is LaPaTc after structural relaxation from the Alexandria database. Energies are from PBE.

a b c (Å): 5.1667 4.3496 4.3496
angles (deg): 120.00 90.00 90.00
Sites, in units of the cell vectors:
Pa 0.1670 0.3333 0.6667
Tc 0.1662 0.0000 0.0000
La 0.6668 0.6667 0.3333

crystal system = hexagonal
total moment = 0.000 μB/f.u.
final energy = -0.60923 Ry per atom
energy above the most stable polymorph in this dataset = 62 meV per atom
energy of formation from the pure elements = -0.0259 eV per atom



Entry 2:
Here is LaPa2Tc3 after structural relaxation from the Alexandria database. Energies are from PBE.

a b c (Å): 6.1794 8.1036 7.3878
angles (deg): 123.26 114.72 90.00
Sites, in units of the cell vectors:
La 0.5001 0.2500 0.5000
La 0.4999 0.7500 0.5000
Pa 0.1666 0.9167 0.8334
Pa 0.1668 0.4167 0.8334
Pa 0.8332 0.5833 0.1666
Pa 0.8334 0.0833 0.1666
Tc 0.0000 0.7500 0.0000
Tc 0.0000 0.2500 0.0000
Tc 0.5000 0.7500 0.0000
Tc 0.0000 0.0000 0.5000
Tc 0.0000 0.5000 0.5000
Tc 0.5000 0.2500 0.0000

crystal system = hexagonal
total moment = 0.000 μB/f.u.
final energy = -0.68898 Ry per atom
energy of formation from the pure elements = -0.2045 eV per atom